## MnCrPt2 (PBE)

Data for a relaxed MnCrPt2 crystal.

Lattice parameters (Å, degrees): 4.413 4.413 4.413 60.00 60.00 60.00
Last column: magnetic moment on the atom in μB.
Element x y z (fractional)
Cr  0.000  0.000  0.000  3.15
Pt  0.750  0.750  0.750  0.36
Pt  0.250  0.250  0.250  0.36
Mn  0.500  0.500  0.500  3.86

- Volume: 60.8 Å³/f.u.
- Total DFT energy (no corrections): -31.6 eV per formula unit
- Calculated formation energy: -18.0 kJ per mole of atoms
- Total moment: 8.15 μB/cell